Here is crystalline PmUSb at its relaxed geometry from Alexandria via LeMat-Bulk. Energies are from PBE.

The structure belongs to space group I4mm (No. 107); the cell edges are 4.031, 4.031 and 10.290 Å and the angles 90.00°, 90.00° and 90.00°. The asymmetric unit holds Pm at (0.000, 0.000, 0.000), U at (0.000, 0.000, 0.697) and Sb at (0.000, 0.000, 0.349).

For the density, the calculation gives 10.0 Mg/m³. Its total magnetic moment is 7.35 μB/cell. The calculation puts the formation energy (no corrections) at -0.089 eV per atom.

---

Here is crystalline SrCrCu2Pd at its relaxed geometry from Alexandria via LeMat-Bulk. Energies are from PBE.

The structure belongs to space group P4/mmm (No. 123); the cell edges are 4.873, 4.873 and 5.344 Å and the angles 90.00°, 90.00° and 90.00°. The asymmetric unit holds Sr at (0.000, 0.000, 0.000), Cr at (0.500, 0.500, 0.000), Cu at (0.000, 0.500, 0.500) and Pd at (0.000, 0.000, 0.500).

The calculation puts the calculated formation energy at 734 meV/atom. For the density, the calculation gives 4.9 Mg/m³. Its total magnetic moment is 5.15 μB/cell.

---

Here is crystalline Ba2Ga3PdAu4 at its relaxed geometry from Alexandria via LeMat-Bulk. Energies are from PBE.

The structure belongs to space group P-4m2 (No. 115); the cell edges are 4.661, 4.661 and 10.827 Å and the angles 90.00°, 90.00° and 90.00°. The asymmetric unit holds Ba at (0.000, 0.500, 0.242), Ga at (0.000, 0.000, 0.000), Ga at (0.000, 0.500, 0.618), Pd at (0.500, 0.500, 0.000), Au at (0.000, 0.000, 0.500), Au at (0.000, 0.500, 0.862) and Au at (0.500, 0.500, 0.500).

The calculation puts the calculated formation energy at -550 meV/atom. For the density, the calculation gives 9.7 Mg/m³. Its total magnetic moment is 0.00 μB/cell.